1.
Nd8Sm2Mg PBE-GGA optimized geometry; E above lowest polymorph = 0.000 eV/atom; raw total energy = -48.10 eV per formula unit; Fermi-level density of states = 18.76 states/eV/cell; E_form = 0.10 eV/atom
1.0
5.4439 0.0000 -1.6530
-0.9534 7.0595 -3.1397
0.0337 0.1159 9.9014
Nd Sm Mg
8 2 1
Direct
0.0000 0.7350 0.0000
0.8255 0.8254 0.6509
0.3656 0.1468 0.7313
0.1745 0.1746 0.3491
0.0000 0.2650 0.0000
0.6344 0.8532 0.2687
0.3656 0.5845 0.7313
0.6344 0.4155 0.2687
0.8050 0.3050 0.6101
0.1950 0.6950 0.3899
0.5000 0.0000 0.0000

2.
Nd6Sm3Mg PBE-GGA optimized geometry; E above lowest polymorph = 0.008 eV/atom; raw total energy = -43.24 eV per formula unit; Fermi-level density of states = 24.74 states/eV/cell; E_form = 0.11 eV/atom
1.0
5.3749 0.0000 0.0976
0.0000 10.6239 0.0000
-0.2314 0.0000 12.0494
Nd Sm Mg
12 6 2
Direct
0.5001 0.2139 0.3874
0.0000 0.0702 0.2480
0.5000 0.4298 0.7480
0.0000 0.9298 0.7520
0.5000 0.8256 0.9186
0.0001 0.2861 0.8874
0.9999 0.7139 0.1126
0.5000 0.5702 0.2520
0.5000 0.1744 0.0814
0.4999 0.7861 0.6126
0.0000 0.3256 0.5814
0.0000 0.6744 0.4186
0.5001 0.1195 0.7184
0.4999 0.8805 0.2816
0.5000 0.5000 0.0000
0.0001 0.3805 0.2184
0.0000 0.0000 0.5000
0.9999 0.6195 0.7816
0.5000 0.5000 0.5000
0.0000 0.0000 0.0000

3.
Nd3Sm4Mg PBE-GGA optimized geometry; E above lowest polymorph = 0.000 eV/atom; raw total energy = -34.71 eV per formula unit; Fermi-level density of states = 20.91 states/eV/cell; E_form = 0.01 eV/atom
1.0
6.3354 0.0000 0.0000
0.0000 7.2581 0.0000
0.0000 0.0000 11.5634
Nd Sm Mg
6 8 2
Direct
0.1498 0.8775 0.2414
0.9962 0.1280 0.5000
0.6498 0.1225 0.7414
0.6498 0.1225 0.2586
0.1498 0.8775 0.7586
0.4962 0.8720 0.0000
0.4858 0.3722 0.0000
0.4639 0.3855 0.5000
0.9858 0.6278 0.5000
0.6436 0.6284 0.2582
0.6436 0.6284 0.7418
0.1436 0.3716 0.7582
0.9639 0.6145 0.0000
0.1436 0.3716 0.2418
0.4826 0.8766 0.5000
0.9826 0.1234 0.0000

4.
NdSm2Mg6 PBE-GGA optimized geometry; raw total energy = -24.62 eV per formula unit; Fermi-level density of states = 4.95 states/eV/cell; E_form = -0.09 eV/atom
1.0
4.5916 -7.9528 0.0000
4.5916 7.9528 0.0000
0.0000 0.0000 3.3276
Nd Mg Sm
1 6 2
Direct
0.0000 0.0000 0.0000
0.6657 0.0000 0.5000
0.0000 0.6657 0.5000
0.6657 0.6657 0.5000
0.0000 0.3343 0.5000
0.3343 0.0000 0.5000
0.3343 0.3343 0.5000
0.3333 0.6667 0.0000
0.6667 0.3333 0.0000